First-principles (GGA-PBE) data for an optimized crystal structure of Y2TcSb, as listed in OQMD.

## Properties
For the total magnetization, the calculation gives 0.00 Bohr magnetons per cell. The value obtained for the total energy is -112.34 eV for the cell shown. Its mass density is 7.6 g cm⁻³.

a b c (Å): 7.0170 7.0170 7.0170
angles (deg): 90.00 90.00 90.00
Space group F-43m (No. 216)
Inequivalent atoms, fractional coordinates:
Y 0.0000 0.0000 0.0000 x4
Y 0.2500 0.2500 0.2500 x4
Tc 0.2500 0.2500 0.7500 x4
Sb 0.0000 0.0000 0.5000 x4